Ca3SnRh2 (PBE, relaxed); SG = Immm (71); uncorrected energy = -4.552 eV per atom; density = 5.03 Mg/m³; magnetization = 0.0 Bohr magnetons per cell
1.0
4.3431 0.0000 0.0000
0.0000 4.5432 0.0000
0.0000 0.0000 14.8720
Ca Sn Rh
6 2 4
Direct
0.0000 0.0000 0.0000
0.0000 0.5000 0.3173
0.0000 0.5000 0.6827
0.5000 0.0000 0.1827
0.5000 0.0000 0.8173
0.5000 0.5000 0.5000
0.0000 0.0000 0.5000
0.5000 0.5000 0.0000
0.0000 0.5000 0.1149
0.0000 0.5000 0.8851
0.5000 0.0000 0.3851
0.5000 0.0000 0.6149